1.
Compound: Al2RhBr
Source: Alexandria
Functional: PBE
Structure: optimized geometry

abc: 4.1354 4.1354 8.2805
angles: 90.00 90.00 90.00
With the nearest neighbours (Å) after each atom.
Space group I-4m2 (No. 119)
Asymmetric unit:
Al (0.0000, 0.0000, 0.0000) x2  4 Rh 2.92, 4 Al 2.93, 4 Br 2.93
Al (0.0000, 0.5000, 0.2500) x2  4 Br 2.92, 4 Al 2.93, 4 Rh 2.93
Rh (0.0000, 0.0000, 0.5000) x2  8 Al 2.92-2.93, 4 Br 2.93
Br (0.0000, 0.5000, 0.7500) x2  8 Al 2.92-2.93, 4 Rh 2.93

Calculated values
Density: 5553 kg/m³
Energy above the lowest structure with this stoichiometry: 797 meV per atom
Formation energy (no corrections): 0.2829 eV per atom

=====

2.
Compound: Tb12HoIn6
Source: Alexandria
Functional: PBE
Structure: optimized geometry

abc: 11.4600 11.4600 14.5073
angles: 90.00 90.00 120.00
With the nearest neighbours (Å) after each atom.
Space group R-3 (No. 148, hexagonal axes)
Asymmetric unit:
Tb (0.0630, 0.2167, 0.4099) x18  4 In 3.25-3.40, 4 Tb 3.37-3.42
Tb (0.0703, 0.8817, 0.8044) x18  4 Tb 3.04-3.40, 3 In 3.27-3.41
Ho (0.0000, 0.0000, 0.0000) x3  6 In 3.22, 6 Tb 3.41
In (0.0292, 0.5911, 0.7151) x18  1 Ho 3.22, 7 Tb 3.25-3.41, 2 In 3.44

Calculated values
Density: 8336 kg/m³
Formation energy: -214 meV/atom

=====

3.
Compound: Sm4SbTeS2
Source: Alexandria
Functional: PBE
Structure: optimized geometry

abc: 7.2739 4.1911 7.4501
angles: 90.00 108.90 90.00
With the nearest neighbours (Å) after each atom.
Space group P2/m (No. 10)
Asymmetric unit:
Sm (0.2313, 0.0000, 0.2125) x2  3 S 2.83-2.89, 1 Sb 3.12
Sm (0.2556, 0.5000, 0.7822) x2  3 S 2.84-2.88, 2 Sb 3.12, 1 Te 3.16
Sb (0.0000, 0.0000, 0.5000) x1  6 Sm 3.12
Te (0.5000, 0.5000, 0.5000) x1  6 Sm 3.16-3.18
S (0.0000, 0.5000, 0.0000) x1  6 Sm 2.83-2.84
S (0.5000, 0.0000, 0.0000) x1  6 Sm 2.88-2.89

Calculated values
Density: 7070 kg/m³
Formation energy (no corrections): -1.6444 eV per atom

=====

4.
Compound: TaZnAs2
Source: Alexandria
Functional: PBE
Structure: optimized geometry

abc: 2.9857 2.9857 31.6576
angles: 90.00 90.00 120.00
With the nearest neighbours (Å) after each atom.
Space group R3m (No. 160, hexagonal axes)
Asymmetric unit:
Ta (0.0000, 0.0000, 0.0000) x3  3 As 2.77, 3 Zn 2.87, 6 Ta 2.99
Zn (0.0000, 0.0000, 0.2609) x3  3 As 2.67, 3 Ta 2.87, 6 Zn 2.99
As (0.0000, 0.0000, 0.5299) x3  3 Zn 2.67, 6 As 2.99
As (0.0000, 0.0000, 0.7350) x3  3 Ta 2.77, 6 As 2.99

Calculated values
Density: 8076 kg/m³
Formation energy: 128 meV/atom

=====

5.
Compound: SrTeAu
Source: Alexandria
Functional: PBE
Structure: optimized geometry

abc: 8.9803 4.7685 8.9425
angles: 90.00 90.00 90.00
With the nearest neighbours (Å) after each atom.
Space group Pnma (No. 62)
Asymmetric unit:
Sr (0.1224, 0.2500, 0.2003) x4  5 Te 3.34-3.41, 4 Au 3.40-3.45
Te (0.1479, 0.2500, 0.8221) x4  1 Au 2.83
Au (0.0714, 0.7500, 0.4665) x4  2 Au 2.77, 1 Te 2.83

Calculated values
Density: 7149 kg/m³
Energy above the lowest structure with this stoichiometry: 0 meV per atom
Formation energy (no corrections): -0.9749 eV per atom

=====

6.
Compound: CdMoAs2
Source: Alexandria
Functional: PBE
Structure: optimized geometry

abc: 3.9435 3.6077 5.6287
angles: 90.00 90.22 90.00
With the nearest neighbours (Å) after each atom.
Space group P2/m (No. 10)
Asymmetric unit:
Cd (0.0000, 0.0000, 0.0000) x1  6 As 2.67-2.81
Mo (0.5000, 0.5000, 0.5000) x1  6 As 2.67-2.81
As (0.0000, 0.0000, 0.5000) x1  4 Mo 2.67, 2 Cd 2.81
As (0.5000, 0.5000, 0.0000) x1  4 Cd 2.67, 2 Mo 2.81

Calculated values
Density: 7428 kg/m³
Formation energy: 369 meV/atom

=====

7.
Compound: Hf2AuI
Source: Alexandria
Functional: PBE
Structure: optimized geometry

abc: 5.9982 5.9982 13.9161
angles: 90.00 90.00 90.00
With the nearest neighbours (Å) after each atom.
Space group I-42d (No. 122)
Asymmetric unit:
Hf (0.1960, 0.2500, 0.1250) x8  2 Au 2.58
Au (0.0000, 0.0000, 0.0000) x4  4 Hf 2.58
I (0.0000, 0.0000, 0.5000) x4  4 Hf 2.93

Calculated values
Density: 9032 kg/m³
Energy above the lowest structure with this stoichiometry: 472 meV per atom
Formation energy (no corrections): 0.4810 eV per atom

=====

8.
Compound: La3GeRh
Source: Alexandria
Functional: PBE
Structure: optimized geometry

abc: 5.6045 7.4671 8.0396
angles: 67.83 78.86 69.27
With the nearest neighbours (Å) after each atom.
Space group P-1 (No. 2)
Asymmetric unit:
La (0.0497, 0.1073, 0.1813) x2  3 Rh 2.95-3.10, 2 Ge 3.06-3.23
La (0.3510, 0.2153, 0.6647) x2  1 Rh 2.91, 3 Ge 3.13-3.16
La (0.3578, 0.4713, 0.2302) x2  2 Rh 2.84-3.06
Ge (0.1408, 0.6945, 0.5265) x2  8 La 3.06-3.42
Rh (0.4224, 0.8367, 0.9690) x2  6 La 2.84-3.10, 1 Rh 3.09

Calculated values
Density: 6766 kg/m³
Energy above the lowest structure with this stoichiometry: 45 meV per atom
Formation energy: -620 meV/atom

=====

9.
Compound: KAcLa2
Source: Alexandria
Functional: PBE
Structure: optimized geometry

abc: 3.8268 3.8268 41.9768
angles: 90.00 90.00 120.00
With the nearest neighbours (Å) after each atom.
Space group R-3m (No. 166, hexagonal axes)
Asymmetric unit:
K (0.0000, 0.0000, 0.0000) x3  6 K 3.83, 2 La 3.95
Ac (0.0000, 0.0000, 0.5000) x3  6 La 3.77, 6 Ac 3.83
La (0.0000, 0.0000, 0.0940) x6  3 Ac 3.77, 6 La 3.83, 1 K 3.95

Calculated values
Density: 5090 kg/m³
Formation energy: 183 meV/atom